Computed, not measured: a geometry-optimized Ba2SbSe2 structure at the GGA-PBE level of DFT.

Unit cell a=6.3835 b=6.3835 c=6.3474 alpha=59.81 beta=59.81 gamma=90.00
With the nearest neighbours (Å) after each atom.
Positions (direct):
Sb 0.0000 0.0000 0.0000  2 Se 2.92
Ba 0.7500 0.2500 0.5000  4 Se 3.27
Ba 0.2500 0.7500 0.5000  4 Se 3.27
Se 0.3274 0.3274 0.3452  1 Sb 2.92, 1 Se 3.08, 4 Ba 3.27
Se 0.6726 0.6726 0.6548  1 Sb 2.92, 1 Se 3.08, 4 Ba 3.27

distance to the lowest polymorph of the same formula: 0.082 eV/atom
spin magnetization: 0.065 μB/atom



Computed, not measured: a geometry-optimized Ba6SbSe4 structure at the GGA-PBE level of DFT.

Unit cell a=4.7817 b=8.1136 c=23.8929 alpha=90.00 beta=90.00 gamma=107.14
With the nearest neighbours (Å) after each atom.
Positions (direct):
Ba 0.5000 0.0000 0.0000  6 Se 3.30-3.36
Ba 0.5000 0.0000 0.5000  6 Se 3.30-3.36
Ba 0.0462 0.0925 0.3356  3 Se 3.25-3.35, 2 Sb 3.60
Ba 0.9538 0.9075 0.6644  3 Se 3.25-3.35, 2 Sb 3.60
Ba 0.9538 0.9075 0.8356  3 Se 3.25-3.35, 2 Sb 3.60
Ba 0.0462 0.0925 0.1644  3 Se 3.25-3.35, 2 Sb 3.60
Ba 0.7740 0.5480 0.4156  5 Se 3.31-3.35
Ba 0.2260 0.4520 0.5844  5 Se 3.31-3.35
Ba 0.2260 0.4520 0.9156  5 Se 3.31-3.35
Ba 0.7740 0.5480 0.0844  5 Se 3.31-3.35
Ba 0.3232 0.6465 0.2500  2 Se 3.27, 2 Sb 3.49
Ba 0.6768 0.3535 0.7500  2 Se 3.27, 2 Sb 3.49
Sb 0.6590 0.3180 0.2500  6 Ba 3.49-3.60
Sb 0.3410 0.6820 0.7500  6 Ba 3.49-3.60
Se 0.8620 0.7240 0.5419  6 Ba 3.25-3.36
Se 0.4079 0.8159 0.1245  6 Ba 3.27-3.35
Se 0.1380 0.2760 0.4581  6 Ba 3.25-3.36
Se 0.5921 0.1841 0.8755  6 Ba 3.27-3.35
Se 0.8620 0.7240 0.9581  6 Ba 3.25-3.36
Se 0.1380 0.2760 0.0419  6 Ba 3.25-3.36
Se 0.5921 0.1841 0.6245  6 Ba 3.27-3.35
Se 0.4079 0.8159 0.3755  6 Ba 3.27-3.35

spin magnetization: 0.074 μB/atom



Computed, not measured: a geometry-optimized Ba2SbSe structure at the GGA-PBE level of DFT.

Unit cell a=9.2208 b=9.2208 c=9.2208 alpha=29.00 beta=29.00 gamma=29.00
With the nearest neighbours (Å) after each atom.
Positions (direct):
Ba 0.0745 0.0745 0.0745  3 Se 3.30, 3 Sb 3.60
Ba 0.2586 0.2586 0.2586  3 Se 3.33, 3 Sb 3.62
Sb 0.4995 0.4995 0.4995  6 Ba 3.60-3.62
Se 0.6674 0.6674 0.6674  6 Ba 3.30-3.33

distance to the lowest polymorph of the same formula: 0.085 eV/atom
spin magnetization: 0.000 μB/atom



Computed, not measured: a geometry-optimized BaSbSe3 structure at the GGA-PBE level of DFT.

Unit cell a=6.9350 b=9.3469 c=10.3234 alpha=107.64 beta=90.00 gamma=90.00
With the nearest neighbours (Å) after each atom.
Positions (direct):
Ba 0.7612 0.0240 0.6622  6 Se 3.27-3.48
Ba 0.2388 0.9760 0.3378  6 Se 3.27-3.48
Ba 0.2612 0.4760 0.8378  6 Se 3.27-3.48
Ba 0.7388 0.5240 0.1622  6 Se 3.27-3.48
Sb 0.2470 0.4931 0.4057  4 Se 2.65-2.80
Sb 0.7530 0.5069 0.5943  4 Se 2.65-2.80
Sb 0.7470 0.0069 0.0943  4 Se 2.65-2.80
Sb 0.2530 0.9931 0.9057  4 Se 2.65-2.80
Se 0.0903 0.6781 0.6282  2 Sb 2.65-2.80
Se 0.9097 0.3219 0.3718  2 Sb 2.65-2.80
Se 0.5903 0.8219 0.8718  2 Sb 2.65-2.80
Se 0.4097 0.1781 0.1282  2 Sb 2.65-2.80
Se 0.5878 0.6988 0.4698  2 Sb 2.75-2.99, 1 Se 2.89
Se 0.4122 0.3012 0.5302  2 Sb 2.75-2.99, 1 Se 2.89
Se 0.0878 0.8012 0.0302  2 Sb 2.75-2.99, 1 Se 2.89
Se 0.9122 0.1988 0.9698  2 Sb 2.75-2.99, 1 Se 2.89
Se 0.2028 0.6090 0.1892  1 Sb 2.78, 1 Se 2.89
Se 0.7972 0.3910 0.8108  1 Sb 2.78, 1 Se 2.89
Se 0.7028 0.8910 0.3108  1 Sb 2.78, 1 Se 2.89
Se 0.2972 0.1090 0.6892  1 Sb 2.78, 1 Se 2.89

spin magnetization: 0.000 μB/atom



Computed, not measured: a geometry-optimized Ba2SbSe structure at the GGA-PBE level of DFT.

Unit cell a=5.7700 b=5.7700 c=5.7700 alpha=60.00 beta=60.00 gamma=60.00
With the nearest neighbours (Å) after each atom.
Positions (direct):
Ba 0.0000 0.0000 0.0000  4 Ba 3.53, 4 Se 3.53
Ba 0.2500 0.2500 0.2500  4 Sb 3.53, 4 Ba 3.53
Sb 0.5000 0.5000 0.5000  4 Se 3.53, 4 Ba 3.53
Se 0.7500 0.7500 0.7500  4 Sb 3.53, 4 Ba 3.53

distance to the lowest polymorph of the same formula: 0.788 eV/atom
spin magnetization: 0.000 μB/atom



Computed, not measured: a geometry-optimized BaSbSe4 structure at the GGA-PBE level of DFT.

Unit cell a=5.3693 b=7.6916 c=10.1578 alpha=96.92 beta=90.00 gamma=110.43
With the nearest neighbours (Å) after each atom.
Positions (direct):
Ba 0.3418 0.0000 0.2500  8 Se 3.36-3.50
Ba 0.6582 0.0000 0.7500  8 Se 3.36-3.50
Sb 0.5000 0.5000 0.0000  6 Se 2.77-2.89
Sb 0.0000 0.5000 0.5000  6 Se 2.77-2.89
Se 0.2720 0.5357 0.2536  2 Se 2.73, 2 Sb 2.88-2.89
Se 0.7363 0.4643 0.2464  2 Se 2.73, 2 Sb 2.88-2.89
Se 0.7280 0.4643 0.7464  2 Se 2.73, 2 Sb 2.88-2.89
Se 0.2637 0.5357 0.7536  2 Se 2.73, 2 Sb 2.88-2.89
Se 0.0873 0.8801 0.5419  1 Se 2.57, 1 Sb 2.77
Se 0.2071 0.1199 0.9581  1 Se 2.57, 1 Sb 2.77
Se 0.9127 0.1199 0.4581  1 Se 2.57, 1 Sb 2.77
Se 0.7929 0.8801 0.0419  1 Se 2.57, 1 Sb 2.77

distance to the lowest polymorph of the same formula: 0.000 eV/atom
spin magnetization: 0.000 μB/atom



Computed, not measured: a geometry-optimized BaSb2Se structure at the GGA-PBE level of DFT.

Unit cell a=9.3030 b=9.3030 c=7.2926 alpha=50.37 beta=50.37 gamma=90.00
With the nearest neighbours (Å) after each atom.
Positions (direct):
Sb 0.5724 0.1250 0.2500  2 Se 3.07, 2 Sb 3.30
Sb 0.1776 0.6250 0.2500  2 Se 3.07, 2 Sb 3.30
Sb 0.3750 0.4276 0.7500  2 Se 3.07, 2 Sb 3.30
Sb 0.8750 0.8224 0.7500  2 Se 3.07, 2 Sb 3.30
Ba 0.0000 0.0000 0.0000  2 Se 3.15
Ba 0.7500 0.2500 0.5000  2 Se 3.15
Se 0.5000 0.5000 0.0000  4 Sb 3.07, 2 Ba 3.15
Se 0.2500 0.7500 0.5000  4 Sb 3.07, 2 Ba 3.15

spin magnetization: 0.000 μB/atom



Computed, not measured: a geometry-optimized Ba2SbSe3 structure at the GGA-PBE level of DFT.

Unit cell a=4.2837 b=5.4677 c=9.3766 alpha=106.95 beta=103.20 gamma=90.00
With the nearest neighbours (Å) after each atom.
Positions (direct):
Ba 0.6477 0.6477 0.2955  7 Se 3.27-3.49
Ba 0.3523 0.3523 0.7045  7 Se 3.27-3.49
Sb 0.0000 0.0000 0.0000  4 Se 2.73-2.87
Se 0.0000 0.5000 0.0000  2 Sb 2.73
Se 0.8355 0.8355 0.6709  1 Sb 2.87
Se 0.1645 0.1645 0.3291  1 Sb 2.87

spin magnetization: 0.000 μB/atom



no.,calculated density (Mg/m³),formation energy from raw total energies (meV/atom)
1,5.062,-1215
2,4.730,-1704
3,4.844,-1331
4,5.166,-905
5,5.811,-628
6,4.898,-683
7,5.605,-388
8,5.155,-1358